Record 1
Entry from OQMD: a relaxed SiW2 crystal (PBE).

energy	-10.60	eV/atom

a = 4.894 Å, b = 4.894 Å, c = 4.894 Å
α = 104.72°, β = 104.72°, γ = 119.47°
Sites, in units of the cell vectors:
Si 0.250 0.250 0.000
Si 0.750 0.750 0.000
W 0.841 0.341 0.182
W 0.341 0.159 0.500
W 0.659 0.841 0.500
W 0.159 0.659 0.818

Record 2
Entry from OQMD: a relaxed PmPuAl crystal (PBE).

energy	-7.13	eV/atom

a = 4.976 Å, b = 4.976 Å, c = 4.976 Å
α = 60.00°, β = 60.00°, γ = 60.00°
Sites, in units of the cell vectors:
Al 0.500 0.500 0.500
Pm 0.000 0.000 0.000
Pu 0.250 0.250 0.250

Record 3
Entry from OQMD: a relaxed LaInHg2 crystal (PBE).

energy	-2.37	eV/atom

a = 5.147 Å, b = 5.147 Å, c = 9.851 Å
α = 90.00°, β = 90.00°, γ = 120.00°
Sites, in units of the cell vectors:
Hg 0.667 0.333 0.106
Hg 0.667 0.333 0.394
Hg 0.333 0.667 0.606
Hg 0.333 0.667 0.894
In 0.333 0.667 0.250
In 0.667 0.333 0.750
La 0.000 0.000 0.000
La 0.000 0.000 0.500

Record 4
Entry from OQMD: a relaxed TbDySi2Sn2 crystal (PBE).

energy	-5.24	eV/atom

a = 3.953 Å, b = 8.510 Å, c = 8.510 Å
α = 29.14°, β = 90.00°, γ = 90.00°
Sites, in units of the cell vectors:
Dy 0.000 0.594 0.594
Si 0.500 0.046 0.046
Si 0.000 0.955 0.955
Sn 0.000 0.242 0.242
Sn 0.500 0.757 0.757
Tb 0.500 0.406 0.406

Record 5
Entry from OQMD: a relaxed NaSmY crystal (PBE).

energy	-3.38	eV/atom

a = 5.354 Å, b = 5.354 Å, c = 5.354 Å
α = 60.00°, β = 60.00°, γ = 60.00°
Sites, in units of the cell vectors:
Na 0.000 0.000 0.000
Sm 0.250 0.250 0.250
Y 0.750 0.750 0.750

Record 6
Entry from OQMD: a relaxed AgIrSO crystal (PBE).

energy	-5.22	eV/atom

a = 3.178 Å, b = 7.202 Å, c = 5.815 Å
α = 90.00°, β = 90.00°, γ = 90.00°
Sites, in units of the cell vectors:
Ag 0.000 0.319 0.118
Ag 0.000 0.681 0.618
Ir 0.500 0.175 0.498
Ir 0.500 0.825 0.998
O 0.500 0.062 0.188
O 0.500 0.938 0.688
S 0.000 0.663 0.186
S 0.000 0.337 0.686

Record 7
Entry from OQMD: a relaxed GdAs2Pt3 crystal (PBE).

energy	-6.06	eV/atom

a = 8.619 Å, b = 8.619 Å, c = 10.131 Å
α = 106.71°, β = 106.71°, γ = 27.69°
Sites, in units of the cell vectors:
As 0.199 0.199 0.123
As 0.464 0.464 0.220
As 0.638 0.638 0.445
As 0.362 0.362 0.555
As 0.536 0.536 0.780
As 0.801 0.801 0.877
Gd 0.000 0.000 0.000
Gd 0.854 0.854 0.314
Gd 0.146 0.146 0.686
Pt 0.327 0.327 0.051
Pt 0.615 0.615 0.182
Pt 0.045 0.045 0.334
Pt 0.230 0.230 0.376
Pt 0.500 0.500 0.500
Pt 0.770 0.770 0.624
Pt 0.955 0.955 0.666
Pt 0.385 0.385 0.818
Pt 0.673 0.673 0.949

Record 8
Entry from OQMD: a relaxed ErTmGe2Pt4 crystal (PBE).

energy	-6.31	eV/atom

a = 4.359 Å, b = 4.359 Å, c = 9.045 Å
α = 90.00°, β = 90.00°, γ = 120.00°
Sites, in units of the cell vectors:
Er 0.000 0.000 0.000
Ge 0.667 0.333 0.250
Ge 0.667 0.333 0.750
Pt 0.333 0.667 0.164
Pt 0.000 0.000 0.337
Pt 0.000 0.000 0.663
Pt 0.333 0.667 0.836
Tm 0.333 0.667 0.500